{
  "formula": "RbNb3Pb5",
  "functional": "PBE-GGA",
  "state": "optimized geometry",
  "space_group": "No. 191",
  "energy_ev_per_atom": -5.43,
  "volume_a3_per_atom": 29.54,
  "cell": [[-4.695, 3.354, -0.352], [1.903, -1.776, 5.161], [5.297, 7.480, 0.621]],
  "species": ["Rb", "Pb", "Pb", "Pb", "Pb", "Pb", "Nb", "Nb", "Nb"],
  "fractional_positions": [[0.000, 0.000, 0.000], [0.667, 0.333, 0.219], [0.000, 0.000, 0.500], [0.333, 0.667, 0.781], [0.333, 0.667, 0.219], [0.667, 0.333, 0.781], [0.500, 0.000, 0.500], [0.000, 0.500, 0.500], [0.500, 0.500, 0.500]]
}